Record 1
# NdHoPdAu

A relaxed NdHoPdAu crystal (GGA-PBE, the Alexandria database).

Results
- Polymorph energy (0 for the lowest one): 49 meV per atom
- Formation energy: -77.4 kJ per mole of atoms
- Spin magnetization: 0.000 μB/atom

Cell lengths 7.2202, 7.2202, 7.2202 Å; angles 90.00, 90.00, 90.00 degrees
Space group F-43m (No. 216)
Inequivalent atoms, fractional coordinates:
Nd 0.0000 0.0000 0.0000 x4
Ho 0.0000 0.0000 0.5000 x4
Pd 0.2500 0.2500 0.7500 x4
Au 0.2500 0.2500 0.2500 x4



Record 2
# Rb2ReRhCl6

A relaxed Rb2ReRhCl6 crystal (GGA-PBE, the Alexandria database).

Results
- Raw formation energy: -0.795 eV/atom
- Spin magnetization: 0.400 μB/atom

Cell lengths 7.4816, 7.4816, 9.0939 Å; angles 90.00, 90.00, 90.00 degrees
Space group I4/mmm (No. 139)
Inequivalent atoms, fractional coordinates:
Rb 0.0000 0.5000 0.2500 x4
Re 0.0000 0.0000 0.0000 x2
Rh 0.0000 0.0000 0.5000 x2
Cl 0.0000 0.0000 0.2521 x4
Cl 0.2312 0.2312 0.0000 x8



Look up the spin magnetization of the second one.
0.400 μB/atom